1.
A plane-wave DFT calculation with PBE was carried out for crystalline CsHg3Se at its relaxed geometry.

a = 6.0279 Å, b = 6.0279 Å, c = 6.0279 Å
α = 90.00°, β = 90.00°, γ = 90.00°
Atoms (fractional coordinates):
Cs 0.0000 0.0000 0.0000
Hg 0.0000 0.5000 0.5000
Hg 0.5000 0.0000 0.5000
Hg 0.5000 0.5000 0.0000
Se 0.5000 0.5000 0.5000

Summary:
Its formation energy without anion corrections is -6.5 kJ per mole of atoms. Its space group is No. 221. As for the total energy: -0.0410 Ha/atom. Its crystal system is cubic. The value obtained for the relative energy among the computed polymorphs is 0.000 eV per atom.

---

2.
A plane-wave DFT calculation with PBE was carried out for crystalline Cs2HgSe at its relaxed geometry.

a = 8.5549 Å, b = 8.5549 Å, c = 8.5549 Å
α = 39.04°, β = 39.04°, γ = 39.04°
Atoms (fractional coordinates):
Cs 0.0000 0.0000 0.0000
Cs 0.2099 0.2099 0.2099
Hg 0.4660 0.4660 0.4660
Se 0.5950 0.5950 0.5950

Summary:
Its formation energy without anion corrections is -73.7 kJ per mole of atoms. Its space group is No. 160. As for the total energy: -0.0785 Ha/atom. Its crystal system is trigonal. The value obtained for the relative energy among the computed polymorphs is 0.010 eV per atom.

---

3.
A plane-wave DFT calculation with PBE was carried out for crystalline Cs2Hg2Se at its relaxed geometry.

a = 6.9613 Å, b = 6.9613 Å, c = 6.9613 Å
α = 118.11°, β = 118.11°, γ = 93.31°
Atoms (fractional coordinates):
Cs 0.2500 0.7500 0.5000
Cs 0.7500 0.2500 0.5000
Hg 0.1817 0.1817 0.0000
Hg 0.8183 0.8183 0.0000
Se 0.5000 0.5000 0.0000

Summary:
Its formation energy without anion corrections is -43.5 kJ per mole of atoms. Its space group is No. 139. As for the total energy: -0.0592 Ha/atom. Its crystal system is tetragonal. The value obtained for the relative energy among the computed polymorphs is 0.008 eV per atom.

---

4.
A plane-wave DFT calculation with PBE was carried out for crystalline Cs12Hg5Se3 at its relaxed geometry.

a = 18.6915 Å, b = 18.6915 Å, c = 18.6915 Å
α = 109.47°, β = 109.47°, γ = 109.47°
Atoms (fractional coordinates):
Cs 0.0640 0.6319 0.3921
Cs 0.0640 0.9322 0.6720
Cs 0.0678 0.2398 0.1319
Cs 0.0678 0.3280 0.9360
Cs 0.1079 0.7398 0.6720
Cs 0.1079 0.8681 0.4360
Cs 0.1319 0.0678 0.2398
Cs 0.1319 0.5640 0.8921
Cs 0.1720 0.2398 0.6079
Cs 0.1720 0.4322 0.5640
Cs 0.2398 0.1319 0.0678
Cs 0.2398 0.6079 0.1720
Cs 0.2602 0.3280 0.8921
Cs 0.2602 0.4322 0.3681
Cs 0.3280 0.8921 0.2602
Cs 0.3280 0.9360 0.0678
Cs 0.3681 0.2602 0.4322
Cs 0.3681 0.6079 0.9360
Cs 0.3921 0.0640 0.6319
Cs 0.3921 0.8280 0.7602
Cs 0.4322 0.3681 0.2602
Cs 0.4322 0.5640 0.1720
Cs 0.4360 0.1079 0.8681
Cs 0.4360 0.8280 0.5678
Cs 0.5640 0.1720 0.4322
Cs 0.5640 0.8921 0.1319
Cs 0.5678 0.4360 0.8280
Cs 0.5678 0.6319 0.7398
Cs 0.6079 0.1720 0.2398
Cs 0.6079 0.9360 0.3681
Cs 0.6319 0.3921 0.0640
Cs 0.6319 0.7398 0.5678
Cs 0.6720 0.0640 0.9322
Cs 0.6720 0.1079 0.7398
Cs 0.7398 0.5678 0.6319
Cs 0.7398 0.6720 0.1079
Cs 0.7602 0.3921 0.8280
Cs 0.7602 0.8681 0.9322
Cs 0.8280 0.5678 0.4360
Cs 0.8280 0.7602 0.3921
Cs 0.8681 0.4360 0.1079
Cs 0.8681 0.9322 0.7602
Cs 0.8921 0.1319 0.5640
Cs 0.8921 0.2602 0.3280
Cs 0.9322 0.6720 0.0640
Cs 0.9322 0.7602 0.8681
Cs 0.9360 0.0678 0.3280
Cs 0.9360 0.3681 0.6079
Hg 0.0000 0.0000 0.0000
Hg 0.0000 0.0000 0.5000
Hg 0.0000 0.5000 0.0000
Hg 0.0000 0.5000 0.5000
Hg 0.1250 0.7500 0.8750
Hg 0.1250 0.8750 0.2500
Hg 0.2500 0.1250 0.8750
Hg 0.2500 0.6250 0.3750
Hg 0.3750 0.2500 0.6250
Hg 0.3750 0.6250 0.7500
Hg 0.5000 0.0000 0.0000
Hg 0.5000 0.0000 0.5000
Hg 0.5000 0.5000 0.0000
Hg 0.5000 0.5000 0.5000
Hg 0.6250 0.3750 0.2500
Hg 0.6250 0.7500 0.3750
Hg 0.7500 0.3750 0.6250
Hg 0.7500 0.8750 0.1250
Hg 0.8750 0.1250 0.7500
Hg 0.8750 0.2500 0.1250
Se 0.1250 0.2500 0.3750
Se 0.1250 0.3750 0.7500
Se 0.2500 0.3750 0.1250
Se 0.2500 0.8750 0.6250
Se 0.3750 0.1250 0.2500
Se 0.3750 0.7500 0.1250
Se 0.6250 0.2500 0.8750
Se 0.6250 0.8750 0.7500
Se 0.7500 0.1250 0.3750
Se 0.7500 0.6250 0.8750
Se 0.8750 0.6250 0.2500
Se 0.8750 0.7500 0.6250

Summary:
Its formation energy without anion corrections is -39.7 kJ per mole of atoms. Its space group is No. 230. As for the total energy: -0.0559 Ha/atom. Its crystal system is cubic.

---

5.
A plane-wave DFT calculation with PBE was carried out for crystalline CsHgSe at its relaxed geometry.

a = 7.6721 Å, b = 7.6721 Å, c = 7.3509 Å
α = 90.00°, β = 90.00°, γ = 138.81°
Atoms (fractional coordinates):
Cs 0.1280 0.8720 0.7500
Cs 0.8720 0.1280 0.2500
Hg 0.3908 0.6092 0.7500
Hg 0.6092 0.3908 0.2500
Se 0.1267 0.8733 0.2500
Se 0.8733 0.1267 0.7500

Summary:
Its formation energy without anion corrections is -61.1 kJ per mole of atoms. Its space group is No. 63. As for the total energy: -0.0801 Ha/atom. Its crystal system is orthorhombic. The value obtained for the relative energy among the computed polymorphs is 0.073 eV per atom.

---

6.
A plane-wave DFT calculation with PBE was carried out for crystalline CsHg2Se3 at its relaxed geometry.

a = 8.3650 Å, b = 8.3650 Å, c = 7.9375 Å
α = 97.26°, β = 97.26°, γ = 132.79°
Atoms (fractional coordinates):
Cs 0.2048 0.7952 0.0000
Cs 0.7952 0.2048 0.0000
Hg 0.0000 0.0000 0.5000
Hg 0.2781 0.7219 0.5000
Hg 0.5000 0.5000 0.0000
Hg 0.7219 0.2781 0.5000
Se 0.1361 0.4101 0.6736
Se 0.1638 0.1638 0.1225
Se 0.4101 0.1361 0.6736
Se 0.5899 0.8639 0.3264
Se 0.8362 0.8362 0.8775
Se 0.8639 0.5899 0.3264

Summary:
Its formation energy without anion corrections is -32.6 kJ per mole of atoms. Its space group is No. 12. As for the total energy: -0.0854 Ha/atom. Its crystal system is monoclinic. The value obtained for the relative energy among the computed polymorphs is 0.006 eV per atom.

---

7.
A plane-wave DFT calculation with PBE was carried out for crystalline Cs2HgSe at its relaxed geometry.

a = 5.8911 Å, b = 5.8911 Å, c = 4.8182 Å
α = 90.00°, β = 90.00°, γ = 90.00°
Atoms (fractional coordinates):
Cs 0.0000 0.5000 0.0000
Cs 0.5000 0.0000 0.0000
Hg 0.0000 0.0000 0.5000
Se 0.5000 0.5000 0.5000

Summary:
Its formation energy without anion corrections is -65.7 kJ per mole of atoms. Its space group is No. 123. As for the total energy: -0.0755 Ha/atom. Its crystal system is tetragonal. The value obtained for the relative energy among the computed polymorphs is 0.093 eV per atom.

---

8.
A plane-wave DFT calculation with PBE was carried out for crystalline CsHg5Se4 at its relaxed geometry.

a = 10.0135 Å, b = 12.7347 Å, c = 5.4128 Å
α = 90.00°, β = 90.00°, γ = 90.00°
Atoms (fractional coordinates):
Cs 0.2500 0.2500 0.0251
Cs 0.7500 0.7500 0.9749
Hg 0.0710 0.5607 0.6662
Hg 0.0710 0.9393 0.6662
Hg 0.2500 0.7500 0.2278
Hg 0.4290 0.5607 0.6662
Hg 0.4290 0.9393 0.6662
Hg 0.5710 0.0607 0.3338
Hg 0.5710 0.4393 0.3338
Hg 0.7500 0.2500 0.7722
Hg 0.9290 0.0607 0.3338
Hg 0.9290 0.4393 0.3338
Se 0.0078 0.7500 0.4629
Se 0.2500 0.5495 0.0274
Se 0.2500 0.9505 0.0274
Se 0.4922 0.7500 0.4629
Se 0.5078 0.2500 0.5371
Se 0.7500 0.0495 0.9726
Se 0.7500 0.4505 0.9726
Se 0.9922 0.2500 0.5371

Summary:
Its formation energy without anion corrections is -26.4 kJ per mole of atoms. Its space group is No. 59. As for the total energy: -0.0699 Ha/atom. Its crystal system is orthorhombic.

---

9.
A plane-wave DFT calculation with PBE was carried out for crystalline Cs2HgSe at its relaxed geometry.

a = 8.9025 Å, b = 8.9025 Å, c = 8.9025 Å
α = 127.49°, β = 126.27°, γ = 78.45°
Atoms (fractional coordinates):
Cs 0.2262 0.2262 0.0000
Cs 0.7738 0.7738 0.0000
Hg 0.5000 0.5000 0.0000
Se 0.0000 0.0000 0.0000

Summary:
Its formation energy without anion corrections is -23.6 kJ per mole of atoms. Its space group is No. 71. As for the total energy: -0.0595 Ha/atom. Its crystal system is orthorhombic. The value obtained for the relative energy among the computed polymorphs is 0.530 eV per atom.

---

10.
A plane-wave DFT calculation with PBE was carried out for crystalline CsHg3Se at its relaxed geometry.

a = 7.0486 Å, b = 7.0486 Å, c = 7.0486 Å
α = 90.00°, β = 90.00°, γ = 90.00°
Atoms (fractional coordinates):
Cs 0.0000 0.0000 0.0000
Hg 0.0000 0.0000 0.5000
Hg 0.0000 0.5000 0.0000
Hg 0.5000 0.0000 0.0000
Se 0.5000 0.5000 0.5000

Summary:
Its formation energy without anion corrections is 29.3 kJ per mole of atoms. Its space group is No. 221. As for the total energy: -0.0274 Ha/atom. Its crystal system is cubic. The value obtained for the relative energy among the computed polymorphs is 0.371 eV per atom.

---

What is the formula in the second record? Cs2HgSe

---

Among the records above, which one has the highest formation energy without anion corrections? number 10

---

The lowest formation energy without anion corrections belongs to which entry? number 2